(1)
Material: LiHoFe4
Method: DFT, PBE
State: relaxed

Geometry as CIF:
```
data_LiHoFe4
_cell_length_a 7.013
_cell_length_b 7.013
_cell_length_c 7.013
_cell_angle_alpha 90.00
_cell_angle_beta 90.00
_cell_angle_gamma 90.00
_space_group_name_H-M_alt 'F -4 3 m'
_space_group_IT_number 216
_space_group_name_Hall 'F -4 2 3'
loop_
_atom_site_label
_atom_site_fract_x
_atom_site_fract_y
_atom_site_fract_z
Li1 0.000 0.000 0.000
Ho1 0.250 0.250 0.250
Fe1 0.125 0.125 0.625
```

---

(2)
Material: LiHo2Fe
Method: DFT, PBE
State: relaxed

Geometry as CIF:
```
data_LiHo2Fe
_cell_length_a 6.815
_cell_length_b 6.815
_cell_length_c 6.815
_cell_angle_alpha 90.00
_cell_angle_beta 90.00
_cell_angle_gamma 90.00
_space_group_name_H-M_alt 'F m -3 m'
_space_group_IT_number 225
_space_group_name_Hall '-F 4 2 3'
loop_
_atom_site_label
_atom_site_fract_x
_atom_site_fract_y
_atom_site_fract_z
Li1 0.000 0.000 0.000
Ho1 0.250 0.250 0.250
Fe1 0.000 0.000 0.500
```

---

(3)
Material: LiHo6Fe2
Method: DFT, PBE
State: relaxed

Geometry as CIF:
```
data_LiHo6Fe2
_cell_length_a 9.446
_cell_length_b 9.519
_cell_length_c 9.931
_cell_angle_alpha 90.00
_cell_angle_beta 90.00
_cell_angle_gamma 90.00
_space_group_name_H-M_alt 'I m m m'
_space_group_IT_number 71
_space_group_name_Hall '-I 2 2'
loop_
_atom_site_label
_atom_site_fract_x
_atom_site_fract_y
_atom_site_fract_z
Li1 0.000 0.000 0.000
Li2 0.000 0.000 0.500
Ho1 0.000 0.302 0.191
Ho2 0.186 0.288 0.500
Ho3 0.208 0.000 0.278
Fe1 0.000 0.500 0.392
Fe2 0.117 0.500 0.000
```

---

(4)
Material: LiHo2Fe
Method: DFT, PBE
State: relaxed

Geometry as CIF:
```
data_LiHo2Fe
_cell_length_a 3.4636
_cell_length_b 3.4636
_cell_length_c 30.2223
_cell_angle_alpha 90.00
_cell_angle_beta 90.00
_cell_angle_gamma 120.00
_space_group_name_H-M_alt 'R -3 m'
_space_group_IT_number 166
_space_group_name_Hall '-R 3 2"'
loop_
_atom_site_label
_atom_site_fract_x
_atom_site_fract_y
_atom_site_fract_z
Li1 0.0000 0.0000 0.0000
Ho1 0.0000 0.0000 0.1068
Fe1 0.0000 0.0000 0.5000
```

---

Number 1: N(E_F) 1.144 states/eV per atom, formation enthalpy at 0 K 0.070 eV per atom. Number 2: N(E_F) 0.691 states/eV per atom, formation enthalpy at 0 K 0.072 eV per atom. Number 3: N(E_F) 1.019 states/eV per atom, formation enthalpy at 0 K -0.012 eV per atom. Number 4: N(E_F) 0.937 states/eV per atom, formation enthalpy at 0 K 0.292 eV per atom.